Entry 1:
The following is a DFT calculation (GGA-PBE) of an optimized crystal structure of Tl2Ni2Ag.

Cell lengths 7.643, 7.643, 3.089 Å; angles 90.00, 90.00, 90.00 degrees
Atoms (fractional coordinates):
Tl 0.162 0.338 0.000
Tl 0.338 0.838 0.000
Tl 0.662 0.162 0.000
Tl 0.838 0.662 0.000
Ni 0.133 0.633 0.500
Ni 0.367 0.133 0.500
Ni 0.633 0.867 0.500
Ni 0.867 0.367 0.500
Ag 0.000 0.000 0.000
Ag 0.500 0.500 0.000

Output
* total magnetic moment: 0.00 μB per atom
* relative energy among the computed polymorphs: 10.1 kJ per mole of atoms

---

Entry 2:
The following is a DFT calculation (GGA-PBE) of an optimized crystal structure of TmTlNiAg.

Cell lengths 6.780, 6.780, 6.780 Å; angles 90.00, 90.00, 90.00 degrees
Atoms (fractional coordinates):
Tm 0.000 0.000 0.000
Tm 0.000 0.500 0.500
Tm 0.500 0.000 0.500
Tm 0.500 0.500 0.000
Tl 0.000 0.000 0.500
Tl 0.000 0.500 0.000
Tl 0.500 0.000 0.000
Tl 0.500 0.500 0.500
Ni 0.250 0.250 0.750
Ni 0.250 0.750 0.250
Ni 0.750 0.250 0.250
Ni 0.750 0.750 0.750
Ag 0.250 0.250 0.250
Ag 0.250 0.750 0.750
Ag 0.750 0.250 0.750
Ag 0.750 0.750 0.250

Output
* total magnetic moment: 0.00 μB per atom
* energy: -4.015 eV per atom

---

Entry 3:
The following is a DFT calculation (GGA-PBE) of an optimized crystal structure of Tm4Ni3Ag.

Cell lengths 3.637, 4.424, 10.105 Å; angles 90.00, 90.00, 90.00 degrees
Atoms (fractional coordinates):
Tm 0.000 0.000 0.000
Tm 0.000 0.500 0.263
Tm 0.500 0.000 0.472
Tm 0.500 0.500 0.771
Ni 0.000 0.500 0.543
Ni 0.500 0.000 0.201
Ni 0.500 0.500 0.052
Ag 0.000 0.000 0.702

Output
* total magnetic moment: 0.00 μB per atom
* energy: -5.185 eV per atom

---

Entry 4:
The following is a DFT calculation (GGA-PBE) of an optimized crystal structure of Tm4Ni2Ag5.

Cell lengths 7.218, 3.571, 8.941 Å; angles 90.00, 96.52, 90.00 degrees
Atoms (fractional coordinates):
Tm 0.187 0.000 0.351
Tm 0.225 0.000 0.936
Tm 0.775 0.000 0.064
Tm 0.813 0.000 0.649
Ni 0.069 0.500 0.134
Ni 0.931 0.500 0.866
Ag 0.163 0.500 0.642
Ag 0.456 0.500 0.175
Ag 0.500 0.500 0.500
Ag 0.544 0.500 0.825
Ag 0.837 0.500 0.358

Output
* total magnetic moment: 0.00 μB per atom
* energy: -4.313 eV per atom

---

Entry 5:
The following is a DFT calculation (GGA-PBE) of an optimized crystal structure of Tm12Ni6Ag.

Cell lengths 8.250, 8.250, 8.250 Å; angles 109.47, 109.47, 109.47 degrees
Atoms (fractional coordinates):
Tm 0.115 0.814 0.302
Tm 0.186 0.302 0.488
Tm 0.186 0.698 0.885
Tm 0.302 0.115 0.814
Tm 0.302 0.488 0.186
Tm 0.488 0.186 0.302
Tm 0.512 0.814 0.698
Tm 0.698 0.512 0.814
Tm 0.698 0.885 0.186
Tm 0.814 0.302 0.115
Tm 0.814 0.698 0.512
Tm 0.885 0.186 0.698
Ni 0.125 0.625 0.500
Ni 0.375 0.500 0.875
Ni 0.500 0.125 0.625
Ni 0.500 0.875 0.375
Ni 0.625 0.500 0.125
Ni 0.875 0.375 0.500
Ag 0.000 0.000 0.000

Output
* total magnetic moment: 0.00 μB per atom
* relative energy among the computed polymorphs: 0.0 kJ per mole of atoms

---

Entry 6:
The following is a DFT calculation (GGA-PBE) of an optimized crystal structure of Tm7Ni2Ag2.

Cell lengths 9.357, 9.357, 9.357 Å; angles 157.85, 65.67, 119.07 degrees
Atoms (fractional coordinates):
Tm 0.000 0.000 0.000
Tm 0.295 0.420 0.875
Tm 0.302 0.613 0.689
Tm 0.545 0.420 0.125
Tm 0.621 0.263 0.358
Tm 0.906 0.263 0.642
Tm 0.924 0.613 0.311
Ni 0.156 0.913 0.243
Ni 0.669 0.913 0.757
Ag 0.255 0.755 0.500
Ag 0.664 0.664 0.000

Output
* total magnetic moment: 0.00 μB per atom
* relative energy among the computed polymorphs: 0.0 kJ per mole of atoms

---

Entry 7:
The following is a DFT calculation (GGA-PBE) of an optimized crystal structure of Tm3Ni8Ag.

Cell lengths 8.619, 8.619, 8.619 Å; angles 33.52, 33.52, 33.52 degrees
Atoms (fractional coordinates):
Tm 0.000 0.000 0.000
Tm 0.130 0.130 0.130
Tm 0.515 0.515 0.515
Ni 0.069 0.569 0.569
Ni 0.070 0.070 0.565
Ni 0.070 0.565 0.070
Ni 0.319 0.319 0.319
Ni 0.565 0.070 0.070
Ni 0.569 0.069 0.569
Ni 0.569 0.569 0.069
Ni 0.819 0.819 0.819
Ag 0.635 0.635 0.635

Output
* total magnetic moment: 0.00 μB per atom
* energy: -5.634 eV per atom

---

Entry 8:
The following is a DFT calculation (GGA-PBE) of an optimized crystal structure of Tm4NiAg.

Cell lengths 7.720, 7.720, 7.720 Å; angles 106.04, 106.04, 116.58 degrees
Atoms (fractional coordinates):
Tm 0.194 0.000 0.194
Tm 0.209 0.495 0.286
Tm 0.209 0.923 0.714
Tm 0.245 0.459 0.786
Tm 0.673 0.459 0.214
Tm 0.750 0.056 0.306
Tm 0.750 0.444 0.694
Tm 0.806 0.000 0.806
Ni 0.236 0.236 0.000
Ni 0.986 0.486 0.500
Ag 0.470 0.970 0.500
Ag 0.720 0.720 0.000

Output
* total magnetic moment: 0.06 μB per atom
* relative energy among the computed polymorphs: 29.2 kJ per mole of atoms

---

Entry 9:
The following is a DFT calculation (GGA-PBE) of an optimized crystal structure of Tm6NiAg5.

Cell lengths 7.953, 7.953, 7.091 Å; angles 90.00, 90.00, 143.25 degrees
Atoms (fractional coordinates):
Tm 0.000 0.000 0.238
Tm 0.000 0.000 0.762
Tm 0.340 0.660 0.244
Tm 0.340 0.660 0.756
Tm 0.660 0.340 0.244
Tm 0.660 0.340 0.756
Ni 0.500 0.500 0.000
Ag 0.169 0.831 0.500
Ag 0.172 0.828 0.000
Ag 0.500 0.500 0.500
Ag 0.828 0.172 0.000
Ag 0.831 0.169 0.500

Output
* total magnetic moment: 0.00 μB per atom
* energy: -4.257 eV per atom

---

Entry 10:
The following is a DFT calculation (GGA-PBE) of an optimized crystal structure of TmNiAg.

Cell lengths 3.593, 16.385, 3.832 Å; angles 90.00, 90.00, 90.00 degrees
Atoms (fractional coordinates):
Tm 0.000 0.100 0.250
Tm 0.000 0.900 0.750
Tm 0.500 0.400 0.750
Tm 0.500 0.600 0.250
Ni 0.000 0.459 0.250
Ni 0.000 0.541 0.750
Ni 0.500 0.041 0.750
Ni 0.500 0.959 0.250
Ag 0.000 0.292 0.250
Ag 0.000 0.708 0.750
Ag 0.500 0.208 0.750
Ag 0.500 0.792 0.250

Output
* total magnetic moment: 0.00 μB per atom
* energy: -4.777 eV per atom

---

Entry 11:
The following is a DFT calculation (GGA-PBE) of an optimized crystal structure of Tm2Ni2Ag3.

Cell lengths 3.844, 19.325, 3.528 Å; angles 90.00, 90.00, 90.00 degrees
Atoms (fractional coordinates):
Tm 0.000 0.165 0.000
Tm 0.000 0.835 0.000
Tm 0.500 0.335 0.000
Tm 0.500 0.665 0.000
Ni 0.000 0.286 0.500
Ni 0.000 0.714 0.500
Ni 0.500 0.214 0.500
Ni 0.500 0.786 0.500
Ag 0.000 0.000 0.000
Ag 0.000 0.427 0.500
Ag 0.000 0.573 0.500
Ag 0.500 0.073 0.500
Ag 0.500 0.500 0.000
Ag 0.500 0.927 0.500

Output
* total magnetic moment: 0.00 μB per atom
* energy: -4.493 eV per atom

---

Entry 12:
The following is a DFT calculation (GGA-PBE) of an optimized crystal structure of Tm5Ni2Ag2.

Cell lengths 8.474, 8.474, 7.450 Å; angles 90.00, 90.00, 49.75 degrees
Atoms (fractional coordinates):
Tm 0.000 0.000 0.000
Tm 0.049 0.701 0.679
Tm 0.201 0.549 0.179
Tm 0.299 0.951 0.679
Tm 0.451 0.799 0.179
Tm 0.500 0.500 0.500
Tm 0.549 0.201 0.821
Tm 0.701 0.049 0.321
Tm 0.799 0.451 0.821
Tm 0.951 0.299 0.321
Ni 0.118 0.882 0.378
Ni 0.382 0.618 0.878
Ni 0.618 0.382 0.122
Ni 0.882 0.118 0.622
Ag 0.214 0.214 0.000
Ag 0.286 0.286 0.500
Ag 0.714 0.714 0.500
Ag 0.786 0.786 0.000

Output
* total magnetic moment: 0.00 μB per atom
* energy: -4.735 eV per atom